No. 1
This record from the Alexandria database describes PrEr3Hg6 after structural relaxation. The functional is PBE-GGA.

a b c (Å): 5.1775 9.1813 11.2069
angles (deg): 107.06 90.00 90.00
Closest atoms and distances in Å follow each position.
Fractional positions:
Pr 0.2500 0.9325 0.6157  10 Hg 3.18-3.45
Pr 0.7500 0.0675 0.3843  10 Hg 3.18-3.45
Er 0.2500 0.5120 0.3876  7 Hg 2.99-3.30
Er 0.7500 0.4880 0.6124  7 Hg 2.99-3.30
Er 0.2500 0.3523 0.8074  8 Hg 3.04-3.19
Er 0.7500 0.6477 0.1926  8 Hg 3.04-3.19
Er 0.2500 0.7685 0.9973  8 Hg 3.03-3.36
Er 0.7500 0.2315 0.0027  8 Hg 3.03-3.36
Hg 0.2500 0.4637 0.0944  7 Er 3.08-3.32
Hg 0.7500 0.5363 0.9056  7 Er 3.08-3.32
Hg 0.2500 0.1427 0.2078  8 Hg 3.19-3.54, 2 Er 3.40-3.55, 2 Pr 3.45
Hg 0.7500 0.8573 0.7922  8 Hg 3.19-3.54, 2 Er 3.40-3.55, 2 Pr 3.45
Hg 0.2500 0.6385 0.7112  4 Er 2.99-3.12, 1 Pr 3.18, 2 Hg 3.24
Hg 0.7500 0.3615 0.2888  4 Er 2.99-3.12, 1 Pr 3.18, 2 Hg 3.24
Hg 0.2500 0.2590 0.5242  4 Er 3.04-3.30, 2 Pr 3.26, 1 Hg 3.39
Hg 0.7500 0.7410 0.4758  4 Er 3.04-3.30, 2 Pr 3.26, 1 Hg 3.39
Hg 0.2500 0.8225 0.3067  4 Er 3.12-3.36, 3 Pr 3.31-3.37, 4 Hg 3.42-3.45
Hg 0.7500 0.1775 0.6933  4 Er 3.12-3.36, 3 Pr 3.31-3.37, 4 Hg 3.42-3.45
Hg 0.2500 0.0634 0.9113  4 Er 3.03-3.19, 1 Pr 3.18, 3 Hg 3.19-3.25
Hg 0.7500 0.9366 0.0887  4 Er 3.03-3.19, 1 Pr 3.18, 3 Hg 3.19-3.25

* E_form: -425 meV per atom
* symmetry: P2_1/m, No. 11


No. 2
This record from the Alexandria database describes Ta3VIr after structural relaxation. The functional is PBE-GGA.

a b c (Å): 4.8454 4.8454 4.8454
angles (deg): 90.00 90.00 90.00
Closest atoms and distances in Å follow each position.
Fractional positions:
Ir 0.0000 0.0000 0.0000  6 Ta 2.42
Ta 0.0000 0.5000 0.0000  2 Ir 2.42
Ta 0.0000 0.0000 0.5000  2 Ir 2.42
Ta 0.5000 0.0000 0.0000  2 Ir 2.42
V 0.5000 0.5000 0.5000  12 Ta 3.43

* E_form: 1240 meV per atom
* relative energy among the computed polymorphs: 1.59 kcal/mol of atoms
* symmetry: Pm-3m, No. 221


No. 3
This record from the Alexandria database describes Na2ZrPtO4 after structural relaxation. The functional is PBE-GGA.

a b c (Å): 5.2358 5.2358 5.2358
angles (deg): 105.90 111.29 111.29
Closest atoms and distances in Å follow each position.
Fractional positions:
Na 0.5000 0.7500 0.2500  4 O 2.35
Na 0.0000 0.0000 0.0000  4 O 2.30
Zr 0.5000 0.2500 0.7500  4 O 2.03
Pt 0.0000 0.5000 0.5000  4 O 2.06
O 0.5304 0.2312 0.3694  1 Zr 2.03, 1 Pt 2.06
O 0.1381 0.2992 0.7688  1 Zr 2.03, 1 Pt 2.06
O 0.8619 0.6306 0.1611  1 Zr 2.03, 1 Pt 2.06
O 0.4696 0.8389 0.7008  1 Zr 2.03, 1 Pt 2.06

* symmetry: I-4, No. 82
* ΔE_f (raw): -1.83 eV/atom